DFT (GGA-PBE) results for a relaxed BiPb6Au2 crystal.

The space group is Immm (No. 71) and the conventional cell measures 9.5623, 9.6714 and 11.3962 Å, with angles of 90.00, 90.00 and 90.00 degrees. The inequivalent atoms are Bi at (0.0000, 0.0000, 0.0000), Bi at (0.0000, 0.0000, 0.5000), Pb at (0.0000, 0.2079, 0.2437), Pb at (0.2038, 0.5000, 0.1734), Pb at (0.2075, 0.3010, 0.5000), Au at (0.0000, 0.3460, 0.0000) and Au at (0.0000, 0.5000, 0.3714).

Its formation energy is -0.0281 eV/atom. The value obtained for the total magnetization is 0.00 μB per atom. The total energy is -3.6599 eV/atom.

***

DFT (GGA-PBE) results for a relaxed LiNb2Ag crystal.

The space group is Fm-3m (No. 225) and the conventional cell measures 6.5054, 6.5054 and 6.5054 Å, with angles of 90.00, 90.00 and 90.00 degrees. The inequivalent atoms are Li at (0.0000, 0.0000, 0.0000), Nb at (0.2500, 0.2500, 0.2500) and Ag at (0.0000, 0.0000, 0.5000).

Its formation energy is 0.5813 eV/atom. The value obtained for the total magnetization is 0.00 μB per atom. The total energy is -5.6448 eV/atom.

***

DFT (GGA-PBE) results for a relaxed MgAg4Pb crystal.

The space group is F-43m (No. 216) and the conventional cell measures 7.9339, 7.9339 and 7.9339 Å, with angles of 90.00, 90.00 and 90.00 degrees. The inequivalent atoms are Mg at (0.0000, 0.0000, 0.0000), Ag at (0.1255, 0.1255, 0.6255) and Pb at (0.2500, 0.2500, 0.2500).

Its formation energy is -0.0148 eV/atom. The value obtained for the total magnetization is 0.00 μB per atom. The total energy is -2.7995 eV/atom.

***

DFT (GGA-PBE) results for a relaxed Mg5PdRh2 crystal.

The space group is Pbam (No. 55) and the conventional cell measures 5.5768, 10.8825 and 4.3869 Å, with angles of 90.00, 90.00 and 90.00 degrees. The inequivalent atoms are Mg at (0.0000, 0.0000, 0.0000), Mg at (0.1108, 0.2648, 0.0000), Mg at (0.1746, 0.6086, 0.5000), Pd at (0.0000, 0.5000, 0.0000) and Rh at (0.1658, 0.8633, 0.5000).

Its formation energy is -0.4741 eV/atom. The value obtained for the total magnetization is 0.00 μB per atom. The total energy is -3.9577 eV/atom.

***

DFT (GGA-PBE) results for a relaxed TmMg4Pb2 crystal.

The space group is Fmmm (No. 69) and the conventional cell measures 6.0469, 10.6993 and 11.5821 Å, with angles of 90.00, 90.00 and 90.00 degrees. The inequivalent atoms are Tm at (0.0000, 0.0000, 0.0000), Mg at (0.2500, 0.2500, 0.0000), Mg at (0.2500, 0.2500, 0.2500) and Pb at (0.0000, 0.0000, 0.3614).

Its formation energy is 0.0842 eV/atom. The value obtained for the total magnetization is 0.00 μB per atom. The total energy is -2.5253 eV/atom.

***

DFT (GGA-PBE) results for a relaxed KCdTc2 crystal.

The space group is Cmmm (No. 65) and the conventional cell measures 5.6213, 10.4627 and 2.6091 Å, with angles of 90.00, 90.00 and 90.00 degrees. The inequivalent atoms are K at (0.0000, 0.0000, 0.0000), Cd at (0.0000, 0.5000, 0.0000) and Tc at (0.2500, 0.2500, 0.5000).

Its formation energy is 1.1631 eV/atom. The value obtained for the total magnetization is 0.00 μB per atom. The total energy is -4.5230 eV/atom.

***

> Number 2 is which compound?

LiNb2Ag

***

Please write out number 2 again, unchanged.
DFT (GGA-PBE) results for a relaxed LiNb2Ag crystal.

The space group is Fm-3m (No. 225) and the conventional cell measures 6.5054, 6.5054 and 6.5054 Å, with angles of 90.00, 90.00 and 90.00 degrees. The inequivalent atoms are Li at (0.0000, 0.0000, 0.0000), Nb at (0.2500, 0.2500, 0.2500) and Ag at (0.0000, 0.0000, 0.5000).

Its formation energy is 0.5813 eV/atom. The value obtained for the total magnetization is 0.00 μB per atom. The total energy is -5.6448 eV/atom.